A plane-wave DFT calculation with PBE-GGA was carried out for a relaxed CoRhBr2 crystal.

abc: 3.3303 3.8906 6.3043
angles: 90.00 90.00 90.00
Last column: nearest neighbours and their distance in Å.
Space group Pmmm (No. 47)
Inequivalent atoms, fractional coordinates:
Co  0.0000  0.0000  0.0000  4 Br 2.56
Rh  0.5000  0.0000  0.5000  4 Br 2.56
Br  0.0000  0.5000  0.5000  4 Rh 2.56
Br  0.5000  0.5000  0.0000  4 Co 2.56

Output
Total energy in eV per atom: -3.835
ΔE_f (raw) in eV/atom: 0.62
Total moment in μB/atom: 0.65
E above lowest polymorph in meV/atom: 551



A plane-wave DFT calculation with PBE-GGA was carried out for a relaxed Co3RhBr crystal.

abc: 4.6506 4.6506 4.6506
angles: 90.00 90.00 90.00
Last column: nearest neighbours and their distance in Å.
Space group Pm-3m (No. 221)
Inequivalent atoms, fractional coordinates:
Co  0.0000  0.0000  0.5000  2 Rh 2.33
Rh  0.0000  0.0000  0.0000  6 Co 2.33
Br  0.5000  0.5000  0.5000  12 Co 3.29

Output
Total energy in eV per atom: -4.805
ΔE_f (raw) in eV/atom: 1.26
Total moment in μB/atom: 1.45
E above lowest polymorph in meV/atom: 28



A plane-wave DFT calculation with PBE-GGA was carried out for a relaxed CoRhBr2 crystal.

abc: 6.7040 6.7040 6.7040
angles: 90.00 90.00 90.00
Last column: nearest neighbours and their distance in Å.
Space group F-43m (No. 216)
Inequivalent atoms, fractional coordinates:
Co  0.0000  0.0000  0.0000  4 Br 2.90, 4 Rh 2.90
Rh  0.2500  0.2500  0.7500  4 Co 2.90, 4 Br 2.90
Br  0.0000  0.0000  0.5000  4 Br 2.90, 4 Rh 2.90
Br  0.2500  0.2500  0.2500  4 Co 2.90, 4 Br 2.90

Output
Total energy in eV per atom: -3.467
ΔE_f (raw) in eV/atom: 0.98
Total moment in μB/atom: 1.00
E above lowest polymorph in meV/atom: 918



A plane-wave DFT calculation with PBE-GGA was carried out for a relaxed CoRh2Br crystal.

abc: 2.8517 4.9166 8.9476
angles: 90.00 90.00 90.00
Last column: nearest neighbours and their distance in Å.
Space group Cmmm (No. 65)
Inequivalent atoms, fractional coordinates:
Co  0.0000  0.0000  0.0000  4 Rh 2.48
Rh  0.0000  0.5000  0.2268  2 Co 2.48
Br  0.0000  0.0000  0.5000  4 Rh 2.83, 6 Br 2.84-2.85

Output
Total energy in eV per atom: -5.243
ΔE_f (raw) in eV/atom: 0.63
Total moment in μB/atom: 0.74
E above lowest polymorph in meV/atom: 198